[1]
First-principles (PBE) data for a geometry-optimized TbPa2 structure, as listed in Alexandria.

Results
- Space-group type: I4/mmm (139)
- E above lowest polymorph: 0.018 eV per atom
- Energy of formation: 0.251 eV/atom

Cell lengths 3.603, 3.603, 12.550 Å; angles 90.00, 90.00, 90.00 degrees
Atoms (fractional coordinates):
1 Tb 0.000 0.000 0.000
2 Tb 0.500 0.500 0.500
3 Pa 0.000 0.000 0.313
4 Pa 0.000 0.000 0.687
5 Pa 0.500 0.500 0.187
6 Pa 0.500 0.500 0.813


[2]
First-principles (PBE) data for a geometry-optimized TbPa2Tc structure, as listed in Alexandria.

Results
- Space-group type: R-3m (166)
- E above lowest polymorph: 0.207 eV per atom
- Energy of formation: 0.275 eV/atom

Cell lengths 4.763, 4.763, 14.419 Å; angles 90.00, 90.00, 120.00 degrees
Atoms (fractional coordinates):
1 Tb 0.000 0.000 0.000
2 Tb 0.333 0.667 0.667
3 Tb 0.667 0.333 0.333
4 Pa 0.000 0.000 0.240
5 Pa 0.000 0.000 0.760
6 Pa 0.333 0.667 0.427
7 Pa 0.333 0.667 0.906
8 Pa 0.667 0.333 0.094
9 Pa 0.667 0.333 0.573
10 Tc 0.000 0.000 0.500
11 Tc 0.333 0.667 0.167
12 Tc 0.667 0.333 0.833


[3]
First-principles (PBE) data for a geometry-optimized Tb2PaTc2 structure, as listed in Alexandria.

Results
- Space-group type: C2/c (15)
- Energy of formation: -0.238 eV/atom

Cell lengths 5.808, 5.808, 8.071 Å; angles 99.61, 99.61, 61.14 degrees
Atoms (fractional coordinates):
1 Tb 0.028 0.276 0.149
2 Tb 0.276 0.028 0.649
3 Tb 0.724 0.972 0.351
4 Tb 0.972 0.724 0.851
5 Pa 0.382 0.618 0.250
6 Pa 0.618 0.382 0.750
7 Tc 0.239 0.502 0.487
8 Tc 0.498 0.761 0.013
9 Tc 0.502 0.239 0.987
10 Tc 0.761 0.498 0.513


[4]
First-principles (PBE) data for a geometry-optimized TbPa2Tc2 structure, as listed in Alexandria.

Results
- Space-group type: P2_1/m (11)
- Energy of formation: -0.138 eV/atom

Cell lengths 3.500, 5.341, 11.778 Å; angles 90.00, 98.54, 90.00 degrees
Atoms (fractional coordinates):
1 Tb 0.144 0.250 0.285
2 Tb 0.856 0.750 0.715
3 Pa 0.050 0.750 0.100
4 Pa 0.235 0.750 0.473
5 Pa 0.765 0.250 0.527
6 Pa 0.950 0.250 0.900
7 Tc 0.355 0.250 0.712
8 Tc 0.463 0.750 0.927
9 Tc 0.537 0.250 0.073
10 Tc 0.645 0.750 0.288


[5]
First-principles (PBE) data for a geometry-optimized Tb3Pa2Tc4 structure, as listed in Alexandria.

Results
- Space-group type: C2/m (12)
- Energy of formation: -0.186 eV/atom

Cell lengths 5.876, 5.876, 8.914 Å; angles 100.21, 100.21, 43.38 degrees
Atoms (fractional coordinates):
1 Tb 0.000 0.000 0.000
2 Tb 0.375 0.375 0.613
3 Tb 0.625 0.625 0.387
4 Pa 0.326 0.326 0.221
5 Pa 0.674 0.674 0.779
6 Tc 0.088 0.088 0.634
7 Tc 0.279 0.279 0.903
8 Tc 0.721 0.721 0.097
9 Tc 0.912 0.912 0.366


[6]
First-principles (PBE) data for a geometry-optimized TbPa5Tc6 structure, as listed in Alexandria.

Results
- Space-group type: P2/m (10)
- Energy of formation: -0.177 eV/atom

Cell lengths 4.703, 6.929, 7.898 Å; angles 90.00, 107.15, 90.00 degrees
Atoms (fractional coordinates):
1 Tb 0.000 0.000 0.000
2 Pa 0.000 0.500 0.000
3 Pa 0.335 0.000 0.671
4 Pa 0.335 0.500 0.672
5 Pa 0.665 0.000 0.329
6 Pa 0.665 0.500 0.328
7 Tc 0.178 0.248 0.354
8 Tc 0.178 0.752 0.354
9 Tc 0.500 0.278 0.000
10 Tc 0.500 0.722 0.000
11 Tc 0.822 0.248 0.646
12 Tc 0.822 0.752 0.646


[7]
First-principles (PBE) data for a geometry-optimized TbPa2Tc3 structure, as listed in Alexandria.

Results
- Space-group type: Cmmm (65)
- E above lowest polymorph: 0.006 eV per atom
- Energy of formation: -0.198 eV/atom

Cell lengths 5.221, 13.577, 3.495 Å; angles 90.00, 90.00, 90.00 degrees
Atoms (fractional coordinates):
1 Tb 0.000 0.000 0.000
2 Tb 0.500 0.500 0.000
3 Pa 0.000 0.337 0.000
4 Pa 0.000 0.663 0.000
5 Pa 0.500 0.163 0.000
6 Pa 0.500 0.837 0.000
7 Tc 0.000 0.185 0.500
8 Tc 0.000 0.500 0.500
9 Tc 0.000 0.815 0.500
10 Tc 0.500 0.000 0.500
11 Tc 0.500 0.315 0.500
12 Tc 0.500 0.685 0.500


[8]
First-principles (PBE) data for a geometry-optimized TbPa2Tc structure, as listed in Alexandria.

Results
- Space-group type: P4/mmm (123)
- E above lowest polymorph: 0.000 eV per atom
- Energy of formation: 0.068 eV/atom

Cell lengths 3.314, 3.314, 8.872 Å; angles 90.00, 90.00, 90.00 degrees
Atoms (fractional coordinates):
1 Tb 0.000 0.000 0.000
2 Pa 0.500 0.500 0.299
3 Pa 0.500 0.500 0.701
4 Tc 0.000 0.000 0.500